A geometry-optimized Cd2GaFeO4 structure, computed with PBE with a Hubbard U.

Calculated values
Theoretical density   6.49 Mg/m³
Crystal system   monoclinic
Total DFT energy (no corrections)   -39.61 eV/cell

Unit cell a=5.8170 b=5.7576 c=5.4906 alpha=117.78 beta=118.86 gamma=106.99
Site moments in Bohr magnetons follow the coordinates.
Sites, in units of the cell vectors:
O 0.4646 0.8821 0.3208  0.04
O 0.1570 0.1896 0.8453  0.03
O 0.7088 0.6381 0.7433  0.01
O 0.8557 0.4909 0.2501  0.03
Cd 0.4280 0.9187 0.8996  0.00
Cd 0.1752 0.1717 0.4142  0.00
Fe 0.9292 0.4177 0.8999  3.74
Ga 0.6685 0.6783 0.4010  0.01